Entry from the Alexandria database: crystalline LuNb2Mo at its relaxed geometry (GGA-PBE).

## Properties
E = -8.76 eV per atom
energy relative to the lowest polymorph listed for this composition = 0.0 meV per atom
density of states at the Fermi level = 1.304 states/eV per atom
ρ = 9647 kg/m3
energy of formation = 11 kJ per mole of atoms

abc: 3.284 3.284 7.291
angles: 90.00 90.00 90.00
Fractional positions:
Lu  0.000  0.000  0.000
Nb  0.500  0.500  0.292
Nb  0.500  0.500  0.708
Mo  0.000  0.000  0.500

Entry from the Alexandria database: crystalline LuNbMo4 at its relaxed geometry (GGA-PBE).

## Properties
E = -9.65 eV per atom
density of states at the Fermi level = 0.753 states/eV per atom
ρ = 9918 kg/m3
energy of formation = 0 kJ per mole of atoms

abc: 5.363 5.363 5.363
angles: 60.00 60.00 60.00
Fractional positions:
Lu  0.000  0.000  0.000
Nb  0.750  0.750  0.750
Mo  0.375  0.375  0.375
Mo  0.375  0.375  0.875
Mo  0.375  0.875  0.375
Mo  0.875  0.375  0.375

Entry from the Alexandria database: crystalline LuNb2Mo at its relaxed geometry (GGA-PBE).

## Properties
E = -8.39 eV per atom
energy relative to the lowest polymorph listed for this composition = 370.0 meV per atom
density of states at the Fermi level = 0.918 states/eV per atom
ρ = 9109 kg/m3
energy of formation = 46 kJ per mole of atoms

abc: 10.060 10.060 10.060
angles: 17.82 17.82 17.82
Fractional positions:
Lu  0.000  0.000  0.000
Nb  0.100  0.100  0.100
Nb  0.900  0.900  0.900
Mo  0.500  0.500  0.500

Entry from the Alexandria database: crystalline LuNbMoOs at its relaxed geometry (GGA-PBE).

## Properties
E = -9.20 eV per atom
density of states at the Fermi level = 1.297 states/eV per atom
ρ = 13051 kg/m3
energy of formation = -4 kJ per mole of atoms

abc: 4.637 4.637 4.637
angles: 60.00 60.00 60.00
Fractional positions:
Lu  0.000  0.000  0.000
Nb  0.500  0.500  0.500
Mo  0.250  0.250  0.250
Os  0.750  0.750  0.750

Entry from the Alexandria database: crystalline NdLuMo4 at its relaxed geometry (GGA-PBE).

## Properties
E = -8.62 eV per atom
density of states at the Fermi level = 1.273 states/eV per atom
ρ = 9764 kg/m3
energy of formation = 14 kJ per mole of atoms

abc: 5.530 5.530 5.530
angles: 60.00 60.00 60.00
Fractional positions:
Nd  0.000  0.000  0.000
Lu  0.750  0.750  0.750
Mo  0.375  0.375  0.375
Mo  0.375  0.375  0.876
Mo  0.375  0.876  0.375
Mo  0.876  0.375  0.375

Entry from the Alexandria database: crystalline LuNi4Mo at its relaxed geometry (GGA-PBE).

## Properties
E = -6.54 eV per atom
density of states at the Fermi level = 1.287 states/eV per atom
ρ = 10249 kg/m3
energy of formation = -12 kJ per mole of atoms

abc: 4.875 4.875 4.875
angles: 60.00 60.00 60.00
Fractional positions:
Lu  0.000  0.000  0.000
Ni  0.127  0.624  0.624
Ni  0.624  0.127  0.624
Ni  0.624  0.624  0.127
Ni  0.624  0.624  0.624
Mo  0.250  0.250  0.250